(1)
A geometry-optimized ZnOsNF2 structure. Source: Alexandria via LeMat-Bulk, functional GGA-PBE.

Results
- energy above the most stable polymorph in this dataset (meV per atom) = 625
- space-group type = P4/mmm (123)
- total moment (Bohr magnetons per cell) = 3.7

Cell lengths 3.608, 3.608, 5.299 Å; angles 90.00, 90.00, 90.00 degrees
Atoms (fractional coordinates):
Zn: 0.000 0.000 0.000
Os: 0.500 0.500 0.500
N: 0.000 0.000 0.500
F: 0.000 0.500 0.000
F: 0.500 0.000 0.000

(2)
A geometry-optimized P3NF structure. Source: Alexandria via LeMat-Bulk, functional GGA-PBE.

Results
- energy above the most stable polymorph in this dataset (meV per atom) = 0
- space-group type = Pm-3m (221)
- total moment (Bohr magnetons per cell) = 0.0

Cell lengths 4.101, 4.101, 4.101 Å; angles 90.00, 90.00, 90.00 degrees
Atoms (fractional coordinates):
P: 0.000 0.000 0.500
P: 0.000 0.500 0.000
P: 0.500 0.000 0.000
N: 0.000 0.000 0.000
F: 0.500 0.500 0.500

(3)
A geometry-optimized P2NF structure. Source: Alexandria via LeMat-Bulk, functional GGA-PBE.

Results
- energy above the most stable polymorph in this dataset (meV per atom) = 799
- space-group type = Fm-3m (225)
- total moment (Bohr magnetons per cell) = 0.0

Cell lengths 4.003, 4.003, 4.003 Å; angles 60.00, 60.00, 60.00 degrees
Atoms (fractional coordinates):
P: 0.250 0.250 0.250
P: 0.750 0.750 0.750
N: 0.000 0.000 0.000
F: 0.500 0.500 0.500

(4)
A geometry-optimized PN2F5 structure. Source: Alexandria via LeMat-Bulk, functional GGA-PBE.

Results
- space-group type = P1 (1)
- total moment (Bohr magnetons per cell) = 0.1

Cell lengths 4.936, 5.694, 6.005 Å; angles 76.68, 70.05, 73.61 degrees
Atoms (fractional coordinates):
P: 0.000 0.000 0.000
N: 0.352 0.520 0.407
N: 0.448 0.489 0.557
F: 0.138 0.012 0.715
F: 0.304 0.002 0.025
F: 0.785 0.256 0.960
F: 0.849 0.988 0.284
F: 0.927 0.745 0.014

Number 1: formation energy from raw total energies 2.0 eV/f.u.. Number 2: formation energy from raw total energies 4.5 eV/f.u.. Number 3: formation energy from raw total energies 3.9 eV/f.u.. Number 4: formation energy from raw total energies -15.3 eV/f.u..